Below is a relaxed DyHoZn2In2 crystal, with properties calculated at the PBE level.

## Properties
E_tot	-3.3257	eV/atom
mass density	8.38	g/cm³
space group	P3m1

Cell: 4.654 4.654 7.264 Å, 90.00 90.00 120.00°
Fractional positions:
Dy 0.000 0.000 0.000
Ho 0.000 0.000 0.500
Zn 0.333 0.667 0.196
Zn 0.667 0.333 0.695
In 0.333 0.667 0.775
In 0.667 0.333 0.276